## PuMoW (PBE)

Data for PuMoW after structural relaxation.

Values from the calculation:
E_tot: -11.384 eV per atom
E_form: 1261 meV per atom
ΔE to the lowest computed polymorph: 489 meV/atom

Lattice parameters (Å, degrees): 4.3521 4.3521 4.3521 60.00 60.00 60.00
Closest atoms and distances in Å follow each position.
Positions (direct):
Pu 0.0000 0.0000 0.0000  4 W 2.67, 4 Mo 2.67
W 0.7500 0.7500 0.7500  4 Pu 2.67
Mo 0.2500 0.2500 0.2500  4 Pu 2.67

***

## PuMoW (PBE)

Data for PuMoW after structural relaxation.

Values from the calculation:
E_tot: -11.873 eV per atom
E_form: 772 meV per atom
ΔE to the lowest computed polymorph: 0 meV/atom

Lattice parameters (Å, degrees): 4.3978 4.3978 4.3978 60.00 60.00 60.00
Closest atoms and distances in Å follow each position.
Positions (direct):
Pu 0.2500 0.2500 0.2500  4 Mo 2.69
Mo 0.0000 0.0000 0.0000  4 Pu 2.69, 4 W 2.69
W 0.7500 0.7500 0.7500  4 Mo 2.69

***

## PuZrMo (PBE)

Data for PuZrMo after structural relaxation.

Values from the calculation:
E_tot: -10.707 eV per atom
E_form: 467 meV per atom
ΔE to the lowest computed polymorph: 0 meV/atom

Lattice parameters (Å, degrees): 4.5582 4.5582 4.5582 60.00 60.00 60.00
Closest atoms and distances in Å follow each position.
Positions (direct):
Zr 0.7500 0.7500 0.7500  4 Mo 2.79
Pu 0.2500 0.2500 0.2500  4 Mo 2.79
Mo 0.0000 0.0000 0.0000  4 Zr 2.79, 4 Pu 2.79

***

## Rb2Mo (PBE)

Data for Rb2Mo after structural relaxation.

Values from the calculation:
E_tot: -2.344 eV per atom
ΔE to the lowest computed polymorph: 92 meV/atom

Lattice parameters (Å, degrees): 11.6847 11.6847 11.6847 60.00 60.00 60.00
Closest atoms and distances in Å follow each position.
Positions (direct):
Rb 0.3750 0.8750 0.3750  2 Mo 3.58
Rb 0.3750 0.3750 0.3750  2 Mo 3.58
Rb 0.3750 0.3750 0.8750  2 Mo 3.58
Rb 0.8750 0.3750 0.3750  2 Mo 3.58
Mo 0.2500 0.2500 0.2500  4 Rb 3.58
Mo 0.5000 0.5000 0.5000  4 Rb 3.58

***

## RbMo (PBE)

Data for RbMo after structural relaxation.

Values from the calculation:
E_tot: -4.314 eV per atom
ΔE to the lowest computed polymorph: 0 meV/atom

Lattice parameters (Å, degrees): 6.4407 6.4407 4.5226 90.00 90.00 120.00
Closest atoms and distances in Å follow each position.
Positions (direct):
Rb 0.6667 0.3333 0.2500  6 Mo 3.89, 6 Rb 4.35
Rb 0.3333 0.6667 0.7500  6 Mo 3.89, 6 Rb 4.35
Mo 0.0000 0.0000 0.0000  2 Mo 2.26
Mo 0.0000 0.0000 0.5000  2 Mo 2.26

***

## Rb2Mo (PBE)

Data for Rb2Mo after structural relaxation.

Values from the calculation:
E_tot: -2.435 eV per atom
ΔE to the lowest computed polymorph: 0 meV/atom

Lattice parameters (Å, degrees): 7.5737 7.5737 7.5737 60.00 60.00 60.00
Closest atoms and distances in Å follow each position.
Positions (direct):
Rb 0.6250 0.1250 0.6250  6 Rb 3.79
Rb 0.6250 0.6250 0.1250  6 Rb 3.79
Rb 0.1250 0.6250 0.6250  6 Rb 3.79
Rb 0.6250 0.6250 0.6250  6 Rb 3.79
Mo 0.2500 0.2500 0.2500  12 Rb 4.44, 4 Mo 4.64
Mo 0.0000 0.0000 0.0000  12 Rb 4.44, 4 Mo 4.64